# CsMnBiSe4 PBE-GGA optimized geometry
data_CsMnBiSe4
_chemical_formula_sum 'Cs2 Mn2 Bi2 Se8'
_space_group_name_H-M_alt 'P 1 21/m 1'
_space_group_IT_number 11
_cell_length_a 7.0896
_cell_length_b 7.0450
_cell_length_c 9.7198
_cell_angle_alpha 90.00
_cell_angle_beta 107.58
_cell_angle_gamma 90.00
loop_
_space_group_symop_operation_xyz
'x,y,z'
'-x,-y,-z'
'-x,y+1/2,-z'
'x,-y+1/2,z'
loop_
_atom_site_label
_atom_site_fract_x
_atom_site_fract_y
_atom_site_fract_z
_atom_site_occupancy
Cs1 0.2236 0.2500 0.4293 1
Mn1 0.2948 0.7500 0.1751 1
Bi1 0.2653 0.2500 0.9430 1
Se1 0.0722 0.7500 0.3092 1
Se2 0.0818 0.7500 0.9458 1
Se3 0.4742 0.0033 0.7948 1
# * uncorrected energy: -4.50 eV/atom
# * E_form (uncorrected): -3.68 eV/f.u.